InHg2Te | SCAN | PBEsol geometry

Structure (POSCAR):
```
InHg2Te
1.0
3.2755 0.0000 0.0000
1.6378 2.8367 0.0000
1.6378 0.9456 11.0789
In Hg Te
1 2 1
Direct
0.4966 0.4966 0.5102
0.0049 0.0049 0.9854
0.7493 0.7493 0.7520
0.2492 0.2492 0.2524
```

**DOS at the Fermi energy**: 2.0 states/eV/f.u.
**Excess energy over the best structure of this formula in the dataset**: 0.215 eV per atom
**Space-group type**: R3m (160)
**Calculated density**: 10.38 Mg/m³